1.
! PBE-GGA RbUPb2S5, relaxed; values from VASP
&SYSTEM
  ibrav = 0, nat = 9, ntyp = 4
/
ATOMIC_SPECIES
Rb 85.47 Rb.upf
S 32.06 S.upf
U 238.03 U.upf
Pb 207.20 Pb.upf
CELL_PARAMETERS angstrom
5.143 0.000 0.000
0.000 7.437 0.000
-2.572 -3.719 7.046
ATOMIC_POSITIONS crystal
Rb 0.000 0.500 0.000
S 0.636 0.900 0.272
S 0.636 0.372 0.272
S 0.364 0.100 0.728
S 0.364 0.628 0.728
S 0.000 0.000 0.000
U 0.500 0.000 0.000
Pb 0.787 0.787 0.574
Pb 0.213 0.213 0.426
! calculated volume	29.95	Å³ per atom
! Fermi-level density of states	0.38	states/eV per atom
! space group	Immm
! ρ	5.53	Mg/m³
! energy relative to the elements, uncorrected	-0.91	eV/atom
! magnetization	1.0	μB/f.u.

2.
! PBE-GGA Rb2UPbS4, relaxed; values from VASP
&SYSTEM
  ibrav = 0, nat = 8, ntyp = 4
/
ATOMIC_SPECIES
Pb 207.20 Pb.upf
S 32.06 S.upf
Rb 85.47 Rb.upf
U 238.03 U.upf
CELL_PARAMETERS angstrom
4.206 0.000 0.000
0.000 7.965 -0.401
0.000 2.562 6.956
ATOMIC_POSITIONS crystal
Pb 0.500 0.500 0.000
S 0.000 0.303 0.264
S 0.500 0.692 0.291
S 0.500 0.308 0.709
S 0.000 0.697 0.736
Rb 0.500 0.000 0.500
Rb 0.000 0.000 0.000
U 0.000 0.500 0.500
! calculated volume	29.67	Å³ per atom
! Fermi-level density of states	0.48	states/eV per atom
! space group	P2/m
! ρ	5.21	Mg/m³
! energy relative to the elements, uncorrected	-1.18	eV/atom
! magnetization	2.0	μB/f.u.

3.
! PBE-GGA Rb2UPbS6, relaxed; values from VASP
&SYSTEM
  ibrav = 0, nat = 10, ntyp = 4
/
ATOMIC_SPECIES
Rb 85.47 Rb.upf
U 238.03 U.upf
S 32.06 S.upf
Pb 207.20 Pb.upf
CELL_PARAMETERS angstrom
7.578 0.000 0.000
3.789 6.562 0.000
3.788 2.188 5.984
ATOMIC_POSITIONS crystal
Rb 0.567 0.567 0.300
Rb 0.066 0.066 0.803
U 0.316 0.316 0.051
S 0.128 0.032 0.293
S 0.547 0.128 0.293
S 0.601 0.085 0.810
S 0.504 0.601 0.810
S 0.085 0.504 0.810
S 0.032 0.548 0.293
Pb 0.816 0.816 0.551
! calculated volume	29.76	Å³ per atom
! Fermi-level density of states	0.96	states/eV per atom
! space group	R-3
! ρ	4.51	Mg/m³
! energy relative to the elements, uncorrected	-0.84	eV/atom
! magnetization	0.0	μB/f.u.

4.
! PBE-GGA Rb2V2PbS7, relaxed; values from VASP
&SYSTEM
  ibrav = 0, nat = 12, ntyp = 4
/
ATOMIC_SPECIES
V 50.94 V.upf
Pb 207.20 Pb.upf
S 32.06 S.upf
Rb 85.47 Rb.upf
CELL_PARAMETERS angstrom
-2.363 4.762 -4.058
-1.465 -1.452 -6.362
-10.003 -1.088 -0.964
ATOMIC_POSITIONS crystal
V 0.079 0.079 0.763
V 0.921 0.921 0.237
Pb 0.500 0.500 0.500
S 0.210 0.893 0.300
S 0.597 0.210 0.300
S 0.790 0.403 0.700
S 0.893 0.597 0.300
S 0.403 0.107 0.700
S 0.000 0.000 0.000
S 0.107 0.790 0.700
Rb 0.678 0.678 0.967
Rb 0.322 0.322 0.033
! calculated volume	30.16	Å³ per atom
! space group	R32
! ρ	3.23	Mg/m³
! energy relative to the elements, uncorrected	-0.79	eV/atom
! magnetization	0.0	μB/f.u.

5.
! PBE-GGA Rb2VPbS4, relaxed; values from VASP
&SYSTEM
  ibrav = 0, nat = 8, ntyp = 4
/
ATOMIC_SPECIES
S 32.06 S.upf
Rb 85.47 Rb.upf
Pb 207.20 Pb.upf
V 50.94 V.upf
CELL_PARAMETERS angstrom
6.970 0.145 0.222
-2.839 6.368 -0.222
-2.839 -2.766 5.740
ATOMIC_POSITIONS crystal
S 0.957 0.514 0.173
S 0.341 0.827 0.784
S 0.043 0.216 0.558
S 0.659 0.442 0.486
Rb 0.500 0.750 0.250
Rb 0.000 0.000 0.000
Pb 0.500 0.250 0.750
V 0.000 0.500 0.500
! calculated volume	32.34	Å³ per atom
! Fermi-level density of states	0.33	states/eV per atom
! space group	I-4
! ρ	3.58	Mg/m³
! energy relative to the elements, uncorrected	-0.89	eV/atom
! magnetization	1.0	μB/f.u.

6.
! PBE-GGA RbVPbS4, relaxed; values from VASP
&SYSTEM
  ibrav = 0, nat = 14, ntyp = 4
/
ATOMIC_SPECIES
S 32.06 S.upf
Rb 85.47 Rb.upf
Pb 207.20 Pb.upf
V 50.94 V.upf
CELL_PARAMETERS angstrom
6.866 0.000 0.032
0.000 6.895 0.000
-2.649 0.000 8.569
ATOMIC_POSITIONS crystal
S 0.995 0.498 0.717
S 0.398 0.750 0.556
S 0.602 0.250 0.444
S 0.005 0.998 0.283
S 0.603 0.250 0.836
S 0.995 0.002 0.717
S 0.005 0.502 0.283
S 0.397 0.750 0.164
Rb 0.275 0.250 0.069
Rb 0.725 0.750 0.931
Pb 0.246 0.250 0.557
Pb 0.754 0.750 0.443
V 0.793 0.250 0.681
V 0.207 0.750 0.319
! calculated volume	29.02	Å³ per atom
! Fermi-level density of states	0.00	states/eV per atom
! space group	P2_1/m
! ρ	3.86	Mg/m³
! energy relative to the elements, uncorrected	-0.88	eV/atom
! magnetization	0.0	μB/f.u.

7.
! PBE-GGA Rb3PbW2S8, relaxed; values from VASP
&SYSTEM
  ibrav = 0, nat = 14, ntyp = 4
/
ATOMIC_SPECIES
S 32.06 S.upf
W 183.84 W.upf
Rb 85.47 Rb.upf
Pb 207.20 Pb.upf
CELL_PARAMETERS angstrom
7.372 0.000 0.000
-3.686 6.384 0.000
0.000 0.000 9.775
ATOMIC_POSITIONS crystal
S 0.333 0.667 0.997
S 0.831 0.169 0.704
S 0.831 0.663 0.704
S 0.169 0.337 0.296
S 0.169 0.831 0.296
S 0.663 0.831 0.296
S 0.667 0.333 0.003
S 0.337 0.169 0.704
W 0.667 0.333 0.781
W 0.333 0.667 0.219
Rb 0.000 0.000 0.000
Rb 0.667 0.333 0.349
Rb 0.333 0.667 0.651
Pb 0.000 0.000 0.500
! calculated volume	32.86	Å³ per atom
! Fermi-level density of states	0.38	states/eV per atom
! space group	P-3m1
! ρ	3.93	Mg/m³
! energy relative to the elements, uncorrected	-0.78	eV/atom
! magnetization	0.0	μB/f.u.

8.
! PBE-GGA Rb2PbWS4, relaxed; values from VASP
&SYSTEM
  ibrav = 0, nat = 16, ntyp = 4
/
ATOMIC_SPECIES
S 32.06 S.upf
Pb 207.20 Pb.upf
Rb 85.47 Rb.upf
W 183.84 W.upf
CELL_PARAMETERS angstrom
-4.465 -3.939 -1.616
1.639 -7.466 1.893
-7.795 -0.317 10.531
ATOMIC_POSITIONS crystal
S 0.924 0.706 0.612
S 0.465 0.294 0.612
S 0.826 0.794 0.888
S 0.380 0.794 0.112
S 0.370 0.706 0.388
S 0.285 0.206 0.888
S 0.508 0.206 0.112
S 0.242 0.294 0.388
Pb 0.750 0.500 0.500
Pb 0.000 0.000 0.000
Rb 0.179 0.000 0.642
Rb 0.571 0.500 0.858
Rb 0.929 0.500 0.142
Rb 0.821 0.000 0.358
W 0.250 0.500 0.500
W 0.500 0.000 0.000
! calculated volume	35.59	Å³ per atom
! Fermi-level density of states	0.56	states/eV per atom
! space group	Fddd
! ρ	4.03	Mg/m³
! energy relative to the elements, uncorrected	-0.53	eV/atom
! magnetization	0.0	μB/f.u.

9.
! PBE-GGA Rb3Y2PbS6, relaxed; values from VASP
&SYSTEM
  ibrav = 0, nat = 12, ntyp = 4
/
ATOMIC_SPECIES
S 32.06 S.upf
Rb 85.47 Rb.upf
Pb 207.20 Pb.upf
Y 88.91 Y.upf
CELL_PARAMETERS angstrom
-3.287 -4.878 -4.077
5.981 3.166 -2.329
3.312 -4.986 5.386
ATOMIC_POSITIONS crystal
S 0.065 0.410 0.196
S 0.590 0.935 0.804
S 0.720 0.720 0.195
S 0.410 0.065 0.196
S 0.935 0.590 0.804
S 0.280 0.280 0.805
Rb 0.837 0.163 0.500
Rb 0.500 0.500 0.500
Rb 0.163 0.837 0.500
Pb 0.000 0.000 0.000
Y 0.333 0.667 0.000
Y 0.667 0.333 0.000
! calculated volume	28.43	Å³ per atom
! Fermi-level density of states	0.39	states/eV per atom
! space group	C2/m
! ρ	4.06	Mg/m³
! energy relative to the elements, uncorrected	-1.44	eV/atom
! magnetization	0.0	μB/f.u.

10.
! PBE-GGA Rb2Zn2PbS4, relaxed; values from VASP
&SYSTEM
  ibrav = 0, nat = 9, ntyp = 4
/
ATOMIC_SPECIES
Rb 85.47 Rb.upf
S 32.06 S.upf
Zn 65.41 Zn.upf
Pb 207.20 Pb.upf
CELL_PARAMETERS angstrom
-0.686 -2.337 3.278
-0.191 -6.474 -4.655
7.760 2.587 0.923
ATOMIC_POSITIONS crystal
Rb 0.874 0.463 0.748
Rb 0.126 0.537 0.252
S 0.208 0.157 0.417
S 0.531 0.760 0.062
S 0.792 0.843 0.583
S 0.469 0.240 0.938
Zn 0.327 0.027 0.655
Zn 0.673 0.973 0.345
Pb 0.000 0.000 0.000
! calculated volume	26.99	Å³ per atom
! Fermi-level density of states	0.00	states/eV per atom
! space group	C2/m
! ρ	4.36	Mg/m³
! energy relative to the elements, uncorrected	-0.87	eV/atom
! magnetization	0.0	μB/f.u.

11.
! PBE-GGA Rb2ZrPbS4, relaxed; values from VASP
&SYSTEM
  ibrav = 0, nat = 8, ntyp = 4
/
ATOMIC_SPECIES
S 32.06 S.upf
Rb 85.47 Rb.upf
Zr 91.22 Zr.upf
Pb 207.20 Pb.upf
CELL_PARAMETERS angstrom
4.029 0.000 0.000
0.000 7.900 -0.468
0.000 2.473 6.859
ATOMIC_POSITIONS crystal
S 0.500 0.313 0.702
S 0.000 0.695 0.730
S 0.000 0.305 0.270
S 0.500 0.687 0.298
Rb 0.500 0.000 0.500
Rb 0.000 0.000 0.000
Zr 0.000 0.500 0.500
Pb 0.500 0.500 0.000
! calculated volume	27.87	Å³ per atom
! space group	P2/m
! ρ	4.45	Mg/m³
! energy relative to the elements, uncorrected	-1.20	eV/atom
! magnetization	0.0	μB/f.u.

> Among the records above, which one has the highest energy relative to the elements, uncorrected?

Rb2PbWS4